The following is a PBE calculation of Rb3MoOs after structural relaxation, from Alexandria.

Results
- energy of formation (kJ/mol of atoms) = 200.1
- density (g/cm3) = 3.35
- symmetry = Pm-3m, No. 221

Lattice parameters (Å, degrees): 6.454 6.454 6.454 90.00 90.00 90.00
Atoms (fractional coordinates):
Mo1 0.500 0.500 0.500
Os1 0.000 0.000 0.000
Rb1 0.000 0.500 0.000
Rb2 0.000 0.000 0.500
Rb3 0.500 0.000 0.000

***

The following is a PBE calculation of RbMo3Os after structural relaxation, from Alexandria.

Results
- energy of formation (kJ/mol of atoms) = 342.5
- density (g/cm3) = 9.81
- symmetry = Pm-3m, No. 221

Lattice parameters (Å, degrees): 4.568 4.568 4.568 90.00 90.00 90.00
Atoms (fractional coordinates):
Mo1 0.000 0.500 0.000
Mo2 0.000 0.000 0.500
Mo3 0.500 0.000 0.000
Os1 0.500 0.500 0.500
Rb1 0.000 0.000 0.000

***

The following is a PBE calculation of RbReMo2Os after structural relaxation, from Alexandria.

Results
- energy of formation (kJ/mol of atoms) = 260.2
- density (g/cm3) = 8.63
- symmetry = P4/mmm, No. 123

Lattice parameters (Å, degrees): 4.811 5.432 4.811 90.00 90.00 90.00
Atoms (fractional coordinates):
Re1 0.500 0.500 0.500
Mo1 0.000 0.000 0.500
Mo2 0.500 0.000 0.000
Os1 0.000 0.000 0.000
Rb1 0.000 0.500 0.000

***

Q: Look up the energy of formation of the first one.
A: 200.1 kJ/mol of atoms

***

Q: energy of formation of number 3 (RbReMo2Os)?
A: 260.2 kJ/mol of atoms

***

Q: Among the records above, which one has the highest density?
A: RbMo3Os